Compound: Ba2In3I7
Source: Alexandria via LeMat-Bulk
Functional: PBE
Structure: relaxed

abc: 15.255 15.255 9.483
angles: 90.00 90.00 32.62
Fractional positions:
Ba  0.142  0.644  0.500
Ba  0.356  0.858  0.500
Ba  0.644  0.142  0.000
Ba  0.858  0.356  0.000
In  0.058  0.556  0.101
In  0.235  0.765  0.925
In  0.444  0.942  0.101
In  0.556  0.058  0.601
In  0.765  0.235  0.425
In  0.942  0.444  0.601
I  0.016  0.833  0.173
I  0.127  0.298  0.942
I  0.167  0.984  0.173
I  0.279  0.451  0.820
I  0.298  0.127  0.442
I  0.415  0.585  0.571
I  0.451  0.279  0.320
I  0.549  0.721  0.820
I  0.585  0.415  0.071
I  0.702  0.873  0.942
I  0.721  0.549  0.320
I  0.833  0.016  0.673
I  0.873  0.702  0.442
I  0.984  0.167  0.673

Properties
Size of the total moment ... 0.000 μB per atom
DFT total energy ... -2.998 eV/atom

***

Compound: Li2CaNi2
Source: Alexandria via LeMat-Bulk
Functional: PBE
Structure: relaxed

abc: 5.446 5.446 5.446
angles: 134.06 134.06 67.00
Fractional positions:
Li  0.139  0.139  0.000
Li  0.861  0.861  0.000
Ca  0.500  0.500  0.000
Ni  0.250  0.750  0.500
Ni  0.750  0.250  0.500

Properties
Energy relative to the lowest polymorph listed for this composition ... 1.0 kJ/mol of formula units
Size of the total moment ... 0.000 μB per atom
Energy of formation from the pure elements ... 0.118 eV per atom
DFT total energy ... -3.360 eV/atom

***

Compound: Al3Se
Source: Alexandria via LeMat-Bulk
Functional: PBE
Structure: relaxed

abc: 4.233 4.233 4.233
angles: 90.00 90.00 90.00
Fractional positions:
Al  0.000  0.000  0.500
Al  0.000  0.500  0.000
Al  0.500  0.000  0.000
Se  0.500  0.500  0.500

Properties
Size of the total moment ... 0.000 μB per atom
DFT total energy ... -3.515 eV/atom

***

Compound: Dy3Y5Th3
Source: Alexandria via LeMat-Bulk
Functional: PBE
Structure: relaxed

abc: 11.184 11.184 3.435
angles: 90.00 90.00 120.00
Fractional positions:
Dy  0.000  0.840  0.000
Dy  0.160  0.160  0.000
Dy  0.840  0.000  0.000
Y  0.000  0.341  0.000
Y  0.333  0.667  0.000
Y  0.341  0.000  0.000
Y  0.659  0.659  0.000
Y  0.667  0.333  0.000
Th  0.000  0.599  0.500
Th  0.401  0.401  0.500
Th  0.599  0.000  0.500

Properties
Energy relative to the lowest polymorph listed for this composition ... 0.0 kJ/mol of formula units
Size of the total moment ... 0.000 μB per atom
Energy of formation from the pure elements ... 0.383 eV per atom
DFT total energy ... -5.834 eV/atom

***

Compound: Ti6Mn5Ru
Source: Alexandria via LeMat-Bulk
Functional: PBE
Structure: relaxed

abc: 7.363 7.363 7.363
angles: 146.49 131.71 60.06
Fractional positions:
Ti  0.079  0.332  0.748
Ti  0.245  0.000  0.245
Ti  0.416  0.668  0.748
Ti  0.584  0.332  0.252
Ti  0.755  0.000  0.755
Ti  0.921  0.668  0.252
Mn  0.000  0.500  0.500
Mn  0.166  0.166  0.000
Mn  0.331  0.831  0.500
Mn  0.669  0.169  0.500
Mn  0.834  0.834  0.000
Ru  0.500  0.500  0.000

Properties
Size of the total moment ... 0.271 μB per atom
Energy of formation from the pure elements ... -0.332 eV per atom
DFT total energy ... -8.873 eV/atom

***

Compound: RbCdB3
Source: Alexandria via LeMat-Bulk
Functional: PBE
Structure: relaxed

abc: 5.060 5.060 5.060
angles: 90.00 90.00 90.00
Fractional positions:
Rb  0.000  0.000  0.000
Cd  0.500  0.500  0.500
B  0.000  0.000  0.500
B  0.000  0.500  0.000
B  0.500  0.000  0.000

Properties
Energy relative to the lowest polymorph listed for this composition ... 552.5 kJ/mol of formula units
Size of the total moment ... 0.245 μB per atom
Energy of formation from the pure elements ... 3.235 eV per atom
DFT total energy ... -1.148 eV/atom